Entry 1:
First-principles (PBE-GGA) data for a geometry-optimized ScPaCo structure, as listed in Alexandria via LeMat-Bulk.

Computed properties:
Crystal system: monoclinic
E_tot (eV/atom): -7.77
Distance to the lowest polymorph of the same formula (eV/atom): 0.030

Lattice parameters (Å, degrees): 6.1964 6.4274 7.2996 90.00 122.98 90.00
With the nearest neighbours (Å) after each atom.
Space group P2_1/c (No. 14)
Symmetry-distinct sites (fractional):
1 Sc 0.2317 0.1612 0.4283 (multiplicity 4)  3 Co 2.55-2.85
2 Pa 0.2534 0.6849 0.5967 (multiplicity 4)  2 Co 2.38-2.47
3 Co 0.2817 0.5196 0.3056 (multiplicity 4)  2 Pa 2.38-2.47, 1 Sc 2.55, 1 Co 2.66

=====

Entry 2:
First-principles (PBE-GGA) data for a geometry-optimized Sc5P2Se2 structure, as listed in Alexandria via LeMat-Bulk.

Computed properties:
Crystal system: orthorhombic
Formation energy without anion corrections (eV/f.u.): -12.351
E_tot (eV/atom): -6.87

Lattice parameters (Å, degrees): 13.4539 7.0804 7.0838 90.00 90.00 90.00
With the nearest neighbours (Å) after each atom.
Space group Cmce (No. 64)
Symmetry-distinct sites (fractional):
1 Sc 0.0000 0.0000 0.0000 (multiplicity 4)  2 Se 2.71, 4 P 2.71-2.73
2 Sc 0.1290 0.1573 0.3427 (multiplicity 16)  3 P 2.64-2.76, 3 Se 2.78-2.84
3 P 0.0000 0.1452 0.6425 (multiplicity 8)  8 Sc 2.64-2.76, 1 P 2.88
4 Se 0.2011 0.0000 0.0000 (multiplicity 8)  7 Sc 2.71-2.84

=====

Entry 3:
First-principles (PBE-GGA) data for a geometry-optimized CaLuMgTl structure, as listed in Alexandria via LeMat-Bulk.

Computed properties:
Crystal system: cubic
E_tot (eV/atom): -2.84

Lattice parameters (Å, degrees): 7.5869 7.5869 7.5869 90.00 90.00 90.00
With the nearest neighbours (Å) after each atom.
Space group F-43m (No. 216)
Symmetry-distinct sites (fractional):
1 Ca 0.0000 0.0000 0.0000 (multiplicity 4)  4 Tl 3.29, 4 Mg 3.29
2 Lu 0.0000 0.0000 0.5000 (multiplicity 4)  4 Tl 3.29, 4 Mg 3.29
3 Mg 0.2500 0.2500 0.2500 (multiplicity 4)  4 Ca 3.29, 4 Lu 3.29
4 Tl 0.2500 0.2500 0.7500 (multiplicity 4)  4 Ca 3.29, 4 Lu 3.29